Record 1
FeGeSb after structural relaxation. Source: Alexandria, functional PBE-GGA.

Values from the calculation:
- Energy relative to the lowest polymorph listed for this composition: 49.5 meV per atom

abc: 3.0990 3.1577 6.1292
angles: 90.00 104.55 90.00
With the nearest neighbours (Å) after each atom.
Atoms (fractional coordinates):
Fe  0.0000  0.0000  0.0000  4 Ge 2.44, 2 Sb 2.62
Ge  0.5861  0.5000  0.1736  4 Fe 2.44
Sb  0.8233  0.5000  0.6473  2 Fe 2.62, 1 Ge 2.81

***

Record 2
FeGeSb after structural relaxation. Source: Alexandria, functional PBE-GGA.

Values from the calculation:
- Energy relative to the lowest polymorph listed for this composition: 53.3 meV per atom

abc: 3.0955 3.0958 5.7880
angles: 89.48 89.81 89.99
With the nearest neighbours (Å) after each atom.
Atoms (fractional coordinates):
Fe  0.0000  0.0000  0.0000  4 Ge 2.53-2.54, 4 Sb 2.74-2.75
Ge  0.5023  0.5039  0.7787  4 Fe 2.53-2.54
Sb  0.4993  0.4980  0.2860  4 Fe 2.74-2.75, 2 Ge 2.85-2.94

***

Record 3
Fe3GeSb after structural relaxation. Source: Alexandria, functional PBE-GGA.

Values from the calculation:
- Energy relative to the lowest polymorph listed for this composition: 553.4 meV per atom

abc: 4.7406 4.7406 4.7406
angles: 90.00 90.00 90.00
With the nearest neighbours (Å) after each atom.
Atoms (fractional coordinates):
Fe  0.0000  0.0000  0.5000  2 Sb 2.37
Fe  0.0000  0.5000  0.0000  2 Sb 2.37
Fe  0.5000  0.0000  0.0000  2 Sb 2.37
Ge  0.5000  0.5000  0.5000  12 Fe 3.35
Sb  0.0000  0.0000  0.0000  6 Fe 2.37

***

Record 4
FeGeSb after structural relaxation. Source: Alexandria, functional PBE-GGA.

Values from the calculation:
- Energy relative to the lowest polymorph listed for this composition: 54.3 meV per atom

abc: 3.8254 3.1213 9.4725
angles: 90.00 90.00 90.00
With the nearest neighbours (Å) after each atom.
Atoms (fractional coordinates):
Fe  0.0000  0.0000  0.0000  4 Ge 2.48, 3 Sb 2.63
Fe  0.0000  0.5000  0.5000  4 Ge 2.48, 3 Sb 2.63
Ge  0.5000  0.0000  0.4756  4 Fe 2.48
Ge  0.5000  0.5000  0.9756  4 Fe 2.48
Sb  0.0000  0.0000  0.7228  3 Fe 2.63
Sb  0.0000  0.5000  0.2228  3 Fe 2.63

***

Record 5
FeGeSb3 after structural relaxation. Source: Alexandria, functional PBE-GGA.

abc: 4.9107 4.9107 4.9107
angles: 90.00 90.00 90.00
With the nearest neighbours (Å) after each atom.
Atoms (fractional coordinates):
Fe  0.0000  0.0000  0.0000  6 Sb 2.46
Ge  0.5000  0.5000  0.5000  12 Sb 3.47
Sb  0.0000  0.0000  0.5000  2 Fe 2.46
Sb  0.0000  0.5000  0.0000  2 Fe 2.46
Sb  0.5000  0.0000  0.0000  2 Fe 2.46

***

Record 6
FeGeSb after structural relaxation. Source: Alexandria, functional PBE-GGA.

Values from the calculation:
- Energy relative to the lowest polymorph listed for this composition: 112.1 meV per atom

abc: 2.9466 3.7076 5.2161
angles: 90.00 90.00 90.00
With the nearest neighbours (Å) after each atom.
Atoms (fractional coordinates):
Fe  0.0000  0.0000  0.0000  4 Ge 2.37, 2 Sb 2.61
Ge  0.5000  0.5000  0.0000  4 Fe 2.37
Sb  0.0000  0.0000  0.5000  2 Fe 2.61

***

Record 7
FeGeSb after structural relaxation. Source: Alexandria, functional PBE-GGA.

Values from the calculation:
- Energy relative to the lowest polymorph listed for this composition: 0.0 meV per atom

abc: 5.9831 5.9831 5.9831
angles: 90.00 90.00 90.00
With the nearest neighbours (Å) after each atom.
Atoms (fractional coordinates):
Fe  0.0000  0.0000  0.0000  4 Ge 2.59, 4 Sb 2.59
Fe  0.0000  0.5000  0.5000  4 Ge 2.59, 4 Sb 2.59
Fe  0.5000  0.0000  0.5000  4 Ge 2.59, 4 Sb 2.59
Fe  0.5000  0.5000  0.0000  4 Ge 2.59, 4 Sb 2.59
Ge  0.2500  0.2500  0.2500  4 Fe 2.59
Ge  0.2500  0.7500  0.7500  4 Fe 2.59
Ge  0.7500  0.2500  0.7500  4 Fe 2.59
Ge  0.7500  0.7500  0.2500  4 Fe 2.59
Sb  0.2500  0.2500  0.7500  4 Fe 2.59
Sb  0.2500  0.7500  0.2500  4 Fe 2.59
Sb  0.7500  0.2500  0.2500  4 Fe 2.59
Sb  0.7500  0.7500  0.7500  4 Fe 2.59

***

Record 8
FeSi2GeSb after structural relaxation. Source: Alexandria, functional PBE-GGA.

abc: 4.4524 4.4524 4.6510
angles: 90.00 90.00 90.00
With the nearest neighbours (Å) after each atom.
Atoms (fractional coordinates):
Fe  0.0000  0.0000  0.0000  4 Si 2.23, 2 Ge 2.33
Si  0.0000  0.5000  0.0000  2 Fe 2.23
Si  0.5000  0.0000  0.0000  2 Fe 2.23
Ge  0.0000  0.0000  0.5000  2 Fe 2.33
Sb  0.5000  0.5000  0.5000  4 Ge 3.15, 8 Si 3.22

***

Record 9
Ta2FeGeSb after structural relaxation. Source: Alexandria, functional PBE-GGA.

abc: 5.0920 5.0920 4.5493
angles: 90.00 90.00 90.00
With the nearest neighbours (Å) after each atom.
Atoms (fractional coordinates):
Ta  0.0000  0.5000  0.0000  2 Sb 2.55
Ta  0.5000  0.0000  0.0000  2 Sb 2.55
Fe  0.0000  0.0000  0.5000  2 Sb 2.27
Ge  0.5000  0.5000  0.5000  8 Ta 3.41, 4 Fe 3.60
Sb  0.0000  0.0000  0.0000  2 Fe 2.27, 4 Ta 2.55

***

Record 10
FeGeSb2Te after structural relaxation. Source: Alexandria, functional PBE-GGA.

Values from the calculation:
- Energy relative to the lowest polymorph listed for this composition: 0.0 meV per atom

abc: 4.7545 4.7545 5.5940
angles: 90.00 90.00 90.00
With the nearest neighbours (Å) after each atom.
Atoms (fractional coordinates):
Fe  0.0000  0.0000  0.0000  4 Sb 2.38
Ge  0.5000  0.5000  0.5000  4 Te 3.36, 8 Sb 3.67
Sb  0.0000  0.5000  0.0000  2 Fe 2.38
Sb  0.5000  0.0000  0.0000  2 Fe 2.38
Te  0.0000  0.0000  0.5000  2 Fe 2.80

***

Record 11
FeGeSbTe2 after structural relaxation. Source: Alexandria, functional PBE-GGA.

Values from the calculation:
- Energy relative to the lowest polymorph listed for this composition: 0.0 meV per atom

abc: 5.1618 5.1618 4.8851
angles: 90.00 90.00 90.00
With the nearest neighbours (Å) after each atom.
Atoms (fractional coordinates):
Fe  0.0000  0.0000  0.0000  2 Sb 2.44, 4 Te 2.58
Ge  0.5000  0.5000  0.5000  8 Te 3.55, 4 Sb 3.65
Sb  0.0000  0.0000  0.5000  2 Fe 2.44
Te  0.0000  0.5000  0.0000  2 Fe 2.58
Te  0.5000  0.0000  0.0000  2 Fe 2.58

***

Record 12
FeGeSbTe2 after structural relaxation. Source: Alexandria, functional PBE-GGA.

Values from the calculation:
- Energy relative to the lowest polymorph listed for this composition: 509.3 meV per atom

abc: 5.3465 5.3465 5.3530
angles: 90.00 90.00 90.00
With the nearest neighbours (Å) after each atom.
Atoms (fractional coordinates):
Fe  0.0000  0.0000  0.0000  4 Sb 3.78, 8 Te 3.78
Ge  0.5000  0.5000  0.5000  4 Te 2.67, 2 Sb 2.68
Sb  0.5000  0.5000  0.0000  2 Ge 2.68
Te  0.0000  0.5000  0.5000  2 Ge 2.67
Te  0.5000  0.0000  0.5000  2 Ge 2.67

***

Final energy values, unit eV/atom, following the record order: -5.57 -5.57 -5.57 -5.57 -4.60 -5.51 -5.62 -5.30 -6.51 -4.40 -4.19 -3.68.
Formation energy without anion corrections values, unit eV/atom, following the record order: 0.1624 0.1663 1.2558 0.1673 0.4876 0.2250 0.1129 0.3102 1.6710 0.4920 0.5038 1.0131.